# 1
A plane-wave DFT calculation with PBE-GGA was carried out for crystalline LaPm3Pr at its relaxed geometry.

```
10
Lattice="-3.586 -0.370 -0.789 0.752 -7.313 0.008 -0.805 -1.842 13.154" Properties=species:S:1:pos:R:3 pbc="T T T"
La -2.713 -7.614 7.269
Pr -1.671 -5.637 10.235
Pm -2.045 -1.987 10.228
Pm -0.547 -5.565 5.094
La -0.926 -1.910 5.104
Pm -1.594 -7.537 2.145
Pm -4.203 -4.027 12.358
Pm 0.563 -5.498 0.015
Pm -3.092 -3.960 7.279
Pr -1.969 -3.888 2.138
```

## Properties
Relative energy among the computed polymorphs: 0 kJ/mol of formula units
D(E_F): 16.8 states/eV per cell
Energy of formation: 0.0149 eV/atom
Total energy: -4.78 eV/atom
Total magnetization: 0.0 μB per cell

# 2
A plane-wave DFT calculation with PBE-GGA was carried out for crystalline La2Pm8Pr at its relaxed geometry.

```
11
Lattice="5.028 0.000 -1.339 -0.540 7.953 -2.026 -0.105 -0.086 9.715" Properties=species:S:1:pos:R:3 pbc="T T T"
Pm 2.703 3.603 0.042
Pm -0.178 5.772 -0.669
La 3.632 2.843 3.528
Pm 0.558 1.400 2.095
Pm 2.899 7.184 0.775
La 0.752 5.024 2.822
Pm 4.562 2.095 7.020
Pm 3.825 6.466 4.255
Pr 2.514 0.000 -0.669
Pm 1.680 4.264 6.309
Pm 1.485 0.682 5.575
```

## Properties
Relative energy among the computed polymorphs: 0 kJ/mol of formula units
D(E_F): 18.5 states/eV per cell
Energy of formation: 0.0166 eV/atom
Total energy: -4.77 eV/atom
Total magnetization: 0.0 μB per cell

# 3
A plane-wave DFT calculation with PBE-GGA was carried out for crystalline La8Pm3Pr2 at its relaxed geometry.

```
13
Lattice="-3.752 4.053 3.079 -8.474 -1.096 -3.113 -3.459 -4.307 7.224" Properties=species:S:1:pos:R:3 pbc="T T T"
La -7.629 1.650 0.953
Pm -7.230 -1.892 -0.549
La -8.382 0.674 4.276
Pm -1.876 2.027 1.540
Pr -11.169 -1.015 5.103
Pm -4.703 -3.510 4.660
Pr -4.516 -0.335 2.087
La -5.121 2.983 3.411
La -10.564 -4.333 3.779
La -8.056 -3.000 6.237
La -10.431 -1.478 1.341
La -7.303 -2.024 2.914
La -5.254 0.129 5.850
```

## Properties
Relative energy among the computed polymorphs: 0 kJ/mol of formula units
D(E_F): 21.3 states/eV per cell
Energy of formation: 0.1343 eV/atom
Total energy: -4.73 eV/atom
Total magnetization: 0.0 μB per cell

# 4
A plane-wave DFT calculation with PBE-GGA was carried out for crystalline La4Pm3Pr at its relaxed geometry.

```
8
Lattice="3.521 0.000 -0.444 -0.086 6.302 -0.682 -0.150 0.590 12.989" Properties=species:S:1:pos:R:3 pbc="T T T"
Pm 0.399 4.876 3.163
Pr 1.760 0.000 -0.222
La 2.963 5.266 9.309
Pm 2.886 2.016 8.699
Pm -0.043 3.151 -0.341
La 0.835 5.098 6.620
La 2.450 1.795 5.243
La 0.322 1.626 2.553
```

## Properties
Relative energy among the computed polymorphs: 0 kJ/mol of formula units
D(E_F): 12.3 states/eV per cell
Energy of formation: 0.1979 eV/atom
Total energy: -4.64 eV/atom
Total magnetization: 0.0 μB per cell

# 5
A plane-wave DFT calculation with PBE-GGA was carried out for crystalline La3Pm2Pr3 at its relaxed geometry.

```
8
Lattice="-2.321 0.330 4.690 -1.486 -5.019 -0.382 10.820 -0.626 2.468" Properties=species:S:1:pos:R:3 pbc="T T T"
La 6.675 -2.223 3.460
La 0.337 -3.091 3.316
La -1.161 0.165 2.345
Pr -0.743 -2.509 -0.191
Pm 3.288 -1.317 4.651
Pr 2.268 -0.755 1.176
Pm 3.725 -3.997 2.125
Pr 4.744 -4.560 5.600
```

## Properties
Relative energy among the computed polymorphs: 0 kJ/mol of formula units
D(E_F): 13.9 states/eV per cell
Energy of formation: 0.0120 eV/atom
Total energy: -4.82 eV/atom
Total magnetization: 0.0 μB per cell

# 6
A plane-wave DFT calculation with PBE-GGA was carried out for crystalline La6PmPr12 at its relaxed geometry.

```
19
Lattice="-8.486 -2.589 -3.796 7.161 -3.604 -5.372 0.683 -3.434 8.993" Properties=species:S:1:pos:R:3 pbc="T T T"
Pr 0.455 -3.039 1.987
La 1.146 -5.662 3.659
La -2.770 -4.027 3.121
Pr 0.602 -6.011 -6.063
Pr -4.879 -3.195 -3.908
Pr -1.097 -6.588 -2.163
Pr -1.884 -6.602 1.467
Pr 5.408 -3.913 -2.175
La 2.128 -5.601 -3.296
La -4.373 -5.215 -0.663
La 3.731 -4.412 0.488
Pr 4.236 -6.432 3.733
Pr 1.241 -3.025 -1.643
Pr -6.050 -5.714 1.999
La -1.788 -3.965 -3.835
Pr -2.288 -2.811 -0.506
Pm 0.000 0.000 0.000
Pr -1.245 -3.616 5.887
Pr 1.646 -6.816 0.331
```

## Properties
Relative energy among the computed polymorphs: 281 kJ/mol of formula units
D(E_F): 28.9 states/eV per cell
Energy of formation: 0.1670 eV/atom
Total energy: -4.66 eV/atom
Total magnetization: 0.0 μB per cell

# 7
A plane-wave DFT calculation with PBE-GGA was carried out for crystalline La4Pm3Pr4 at its relaxed geometry.

```
11
Lattice="3.608 0.000 0.003 0.000 5.886 -0.002 1.796 2.909 18.633" Properties=species:S:1:pos:R:3 pbc="T T T"
Pm 3.604 2.931 5.085
La 1.802 2.923 1.719
Pr 1.801 2.927 8.658
La 1.801 5.872 6.713
Pm 1.799 5.864 13.548
Pm 0.000 0.000 0.000
Pr 1.802 5.870 3.373
Pr 3.603 5.868 9.973
Pr 3.602 2.924 15.260
La 3.601 5.872 16.918
La 3.602 2.923 11.919
```

## Properties
Relative energy among the computed polymorphs: 0 kJ/mol of formula units
D(E_F): 16.2 states/eV per cell
Energy of formation: 0.0484 eV/atom
Total energy: -4.78 eV/atom
Total magnetization: 0.0 μB per cell

# 8
A plane-wave DFT calculation with PBE-GGA was carried out for crystalline La2PmPr at its relaxed geometry.

```
4
Lattice="3.721 0.000 0.000 0.000 3.721 0.000 0.000 0.000 10.428" Properties=species:S:1:pos:R:3 pbc="T T T"
La 0.000 0.000 2.627
Pr 1.861 1.861 0.000
La 0.000 0.000 7.801
Pm 1.861 1.861 5.214
```

## Properties
Relative energy among the computed polymorphs: 2 kJ/mol of formula units
D(E_F): 7.2 states/eV per cell
Energy of formation: 0.0137 eV/atom
Total energy: -4.83 eV/atom
Total magnetization: 0.0 μB per cell

# 9
A plane-wave DFT calculation with PBE-GGA was carried out for crystalline La5PmPr at its relaxed geometry.

```
14
Lattice="6.489 0.171 2.744 2.477 6.000 2.744 0.996 0.685 13.874" Properties=species:S:1:pos:R:3 pbc="T T T"
La 3.844 2.821 15.659
La 6.680 5.677 14.414
Pr 3.866 4.515 6.212
La 6.101 1.268 6.212
La 6.118 4.035 3.703
La 2.772 2.987 11.884
Pm 0.000 0.000 0.000
La 3.282 1.180 4.948
La 7.190 3.869 7.477
La 6.451 4.616 10.640
La 3.510 2.240 8.722
Pm 0.498 0.343 6.937
Pr 6.096 2.342 13.149
La 3.861 5.588 13.149
```

## Properties
Relative energy among the computed polymorphs: 29 kJ/mol of formula units
D(E_F): 20.7 states/eV per cell
Energy of formation: 0.1208 eV/atom
Total energy: -4.76 eV/atom
Total magnetization: 0.0 μB per cell

# 10
A plane-wave DFT calculation with PBE-GGA was carried out for crystalline LaPm5Pr2 at its relaxed geometry.

```
16
Lattice="-3.316 -3.989 0.540 5.418 -4.715 -1.562 3.369 -0.865 14.301" Properties=species:S:1:pos:R:3 pbc="T T T"
Pm 2.645 -3.932 12.383
Pm 2.827 -5.637 0.896
Pm 4.394 -2.790 6.369
Pm 0.956 -3.495 5.234
La 2.709 -2.357 -0.781
Pm 4.516 -6.074 8.045
Pm 6.253 -4.928 1.994
Pm 3.554 -2.573 2.815
La 1.685 -0.433 7.150
Pr 0.119 -3.281 1.679
Pr 1.806 -3.716 8.828
Pm 5.234 -3.007 9.923
Pr 3.666 -5.853 4.450
Pm 2.534 -0.652 10.745
Pm 0.000 0.000 0.000
Pr 5.352 -6.288 11.600
```

## Properties
Relative energy among the computed polymorphs: 0 kJ/mol of formula units
D(E_F): 27.0 states/eV per cell
Energy of formation: 0.0155 eV/atom
Total energy: -4.76 eV/atom
Total magnetization: 0.0 μB per cell

# 11
A plane-wave DFT calculation with PBE-GGA was carried out for crystalline La3Pm2Pr7 at its relaxed geometry.

```
12
Lattice="3.644 0.000 0.000 0.000 6.575 0.785 0.000 2.461 18.532" Properties=species:S:1:pos:R:3 pbc="T T T"
Pr 1.822 8.244 16.160
Pr 1.822 2.838 9.466
Pr 0.000 4.106 3.548
Pm 1.822 4.160 12.713
Pm 1.822 4.876 6.604
Pr 1.822 0.791 3.158
Pr 1.822 6.197 9.851
Pr 0.000 4.930 15.769
La 0.000 1.593 6.364
Pr 0.000 0.000 0.000
La 0.000 7.442 12.953
La 1.822 3.287 0.393
```

## Properties
D(E_F): 19.9 states/eV per cell
Energy of formation: 0.0660 eV/atom
Total energy: -4.75 eV/atom
Total magnetization: 0.0 μB per cell

# 12
A plane-wave DFT calculation with PBE-GGA was carried out for crystalline La3PmPr at its relaxed geometry.

```
10
Lattice="-2.206 5.357 -1.955 2.592 -3.731 -3.587 -10.837 -5.306 -2.313" Properties=species:S:1:pos:R:3 pbc="T T T"
La -7.985 -4.080 -2.171
La -8.676 -5.511 -5.311
Pr -5.418 -2.653 -1.156
Pm -8.638 -1.720 -4.529
Pm -1.813 -1.960 -3.326
La -2.465 0.400 -5.683
La -4.982 0.260 -3.228
La -1.774 1.831 -2.543
La -5.468 -3.940 -4.627
Pr 0.000 0.000 0.000
```

## Properties
Relative energy among the computed polymorphs: 24 kJ/mol of formula units
D(E_F): 14.9 states/eV per cell
Energy of formation: 0.1723 eV/atom
Total energy: -4.69 eV/atom
Total magnetization: 0.0 μB per cell

# 13
A plane-wave DFT calculation with PBE-GGA was carried out for crystalline La10Pm4Pr at its relaxed geometry.

```
15
Lattice="-2.939 5.567 3.055 -0.778 -1.281 9.600 6.728 6.476 2.684" Properties=species:S:1:pos:R:3 pbc="T T T"
La 3.427 8.413 8.178
Pm -0.433 2.200 3.588
La 0.771 6.773 8.433
La -0.416 2.350 7.161
Pm 3.365 7.942 4.791
La 3.127 2.999 9.742
La -1.950 5.257 8.756
La -0.116 7.763 5.597
La 2.240 3.989 6.906
La 1.289 5.103 4.138
Pm -0.354 2.821 10.548
Pr 0.000 0.000 0.000
La 1.723 5.659 11.201
Pm 3.444 8.562 11.751
La 4.961 5.506 6.582
```

## Properties
D(E_F): 28.5 states/eV per cell
Energy of formation: 0.4439 eV/atom
Total energy: -4.43 eV/atom
Total magnetization: 0.0 μB per cell

# 14
A plane-wave DFT calculation with PBE-GGA was carried out for crystalline LaPmPr5 at its relaxed geometry.

```
7
Lattice="5.927 0.000 0.000 2.964 7.538 0.458 2.964 1.798 7.334" Properties=species:S:1:pos:R:3 pbc="T T T"
Pm 5.927 4.668 3.896
La 0.000 0.000 0.000
Pr 5.927 2.834 6.093
Pr 5.927 6.501 1.699
Pr 2.964 4.668 3.896
Pr 5.927 7.021 5.860
Pr 5.927 2.315 1.932
```

## Properties
Relative energy among the computed polymorphs: 516 kJ/mol of formula units
D(E_F): 13.5 states/eV per cell
Energy of formation: 0.9109 eV/atom
Total energy: -3.89 eV/atom
Total magnetization: 0.2 μB per cell

# 15
A plane-wave DFT calculation with PBE-GGA was carried out for crystalline La5PmPr2 at its relaxed geometry.

```
16
Lattice="-4.812 3.335 -0.862 -1.808 -6.216 6.356 3.675 7.460 8.341" Properties=species:S:1:pos:R:3 pbc="T T T"
Pr 1.567 4.888 10.163
La -1.974 -0.692 8.343
La 0.038 0.443 1.500
Pm -1.936 4.794 9.040
La 0.222 7.689 8.196
La -0.541 2.035 10.893
La -2.403 2.543 2.942
La 1.031 2.457 3.752
La -0.970 5.270 5.492
La -3.166 -3.111 5.639
Pr -4.512 -0.310 3.672
La -2.983 4.136 12.335
Pr 0.351 2.420 7.403
Pr -3.296 2.158 6.432
Pm -1.009 -0.216 4.795
La -3.975 2.121 10.083
```

## Properties
D(E_F): 26.0 states/eV per cell
Energy of formation: 0.1126 eV/atom
Total energy: -4.76 eV/atom
Total magnetization: 0.0 μB per cell

# 16
A plane-wave DFT calculation with PBE-GGA was carried out for crystalline La2Pm7Pr2 at its relaxed geometry.

```
11
Lattice="8.747 -1.705 0.157 -1.733 5.781 1.541 -0.867 1.705 8.705" Properties=species:S:1:pos:R:3 pbc="T T T"
Pr 0.861 2.890 2.713
Pm 4.145 1.838 4.249
Pm 0.000 0.000 0.000
Pr 5.286 2.890 7.690
La 6.296 -0.218 2.336
Pm 2.002 3.942 6.154
Pm 7.369 0.435 5.548
Pm 2.915 5.345 9.508
La -0.149 5.998 8.067
Pm -1.222 5.345 4.855
Pm 3.232 0.435 0.895
```

## Properties
Relative energy among the computed polymorphs: 0 kJ/mol of formula units
D(E_F): 17.4 states/eV per cell
Energy of formation: 0.1398 eV/atom
Total energy: -4.65 eV/atom
Total magnetization: 0.0 μB per cell

# 17
A plane-wave DFT calculation with PBE-GGA was carried out for crystalline La4PmPr7 at its relaxed geometry.

```
12
Lattice="6.907 -1.686 2.164 0.600 5.841 2.658 2.261 -1.555 10.857" Properties=species:S:1:pos:R:3 pbc="T T T"
La 5.151 0.064 9.213
Pm 0.000 0.000 0.000
La 4.617 2.537 6.466
Pr 4.283 0.952 12.726
Pr 3.732 3.412 10.007
Pr 5.485 1.649 2.952
Pr 3.454 -0.843 1.082
Pr 8.614 -0.775 10.297
La 7.181 2.568 11.078
Pr 6.036 -0.812 5.672
Pr 1.154 3.376 5.382
La 2.587 0.033 4.600
```

## Properties
Relative energy among the computed polymorphs: 0 kJ/mol of formula units
D(E_F): 21.3 states/eV per cell
Energy of formation: 0.0122 eV/atom
Total energy: -4.81 eV/atom
Total magnetization: 0.0 μB per cell

# 18
A plane-wave DFT calculation with PBE-GGA was carried out for crystalline LaPm4Pr3 at its relaxed geometry.

```
16
Lattice="6.435 0.000 0.000 0.000 7.439 0.000 0.000 0.000 11.967" Properties=species:S:1:pos:R:3 pbc="T T T"
Pm 0.958 0.919 8.969
Pr 4.169 2.775 2.988
Pm 4.175 6.521 8.982
Pr 3.091 4.663 0.000
La 6.314 2.785 0.000
Pm 3.088 0.913 0.000
Pm 6.305 6.526 5.984
Pm 3.093 0.918 5.984
Pm 0.958 0.919 2.998
La 3.096 4.655 5.984
Pm 6.310 6.521 0.000
Pr 0.951 4.664 8.971
Pm 4.175 6.521 2.986
Pr 0.951 4.664 2.996
Pr 4.169 2.775 8.980
Pr 6.308 2.776 5.984
```

## Properties
Relative energy among the computed polymorphs: 15 kJ/mol of formula units
D(E_F): 28.4 states/eV per cell
Energy of formation: 0.0343 eV/atom
Total energy: -4.75 eV/atom
Total magnetization: 0.0 μB per cell

# 19
A plane-wave DFT calculation with PBE-GGA was carried out for crystalline La2Pm5Pr2 at its relaxed geometry.

```
9
Lattice="-2.175 2.817 -0.069 -0.359 -0.524 -10.092 -5.674 -6.402 9.322" Properties=species:S:1:pos:R:3 pbc="T T T"
La -2.248 -1.687 1.988
Pm -4.534 -3.401 4.117
La -5.960 -2.422 -2.827
Pm 0.000 0.000 0.000
Pr -1.263 1.196 -3.197
Pm -2.526 -1.989 -1.603
Pr -6.945 -5.304 2.358
Pm -3.673 -0.708 -4.956
Pm -5.682 -2.119 0.764
```

## Properties
Relative energy among the computed polymorphs: 0 kJ/mol of formula units
D(E_F): 15.6 states/eV per cell
Energy of formation: 0.1264 eV/atom
Total energy: -4.67 eV/atom
Total magnetization: 0.0 μB per cell

# 20
A plane-wave DFT calculation with PBE-GGA was carried out for crystalline La6PmPr3 at its relaxed geometry.

```
10
Lattice="-0.137 -5.284 -3.802 7.462 3.688 -1.677 -0.619 -3.006 7.917" Properties=species:S:1:pos:R:3 pbc="T T T"
La 3.305 -1.687 1.607
La 3.679 -2.834 -4.246
Pm -0.007 -0.258 -0.186
La 1.506 -3.777 -1.367
La -0.437 -6.244 0.641
Pr 4.130 -4.730 0.178
La 5.639 0.126 -3.222
La -0.543 -4.995 4.117
Pr -0.282 -2.996 1.644
Pr 2.765 -0.472 -1.972
```

## Properties
Relative energy among the computed polymorphs: 64 kJ/mol of formula units
D(E_F): 14.2 states/eV per cell
Energy of formation: 0.2498 eV/atom
Total energy: -4.62 eV/atom
Total magnetization: 0.0 μB per cell